Entry 1:
A relaxed structure of FeCo2N2, computed with GGA-PBE.

Properties
VASP energy (eV/atom): -7.26
Calculated density (g/cm³): 6.97
Uncorrected formation energy (eV per atom): 0.61
Magnetization (μB/f.u.): 4.39
Distance to the lowest polymorph of the same formula (eV per atom): 0.415

Cell: 3.566 3.566 4.543 Å, 66.89 66.89 90.00°
Site moments in Bohr magnetons follow the coordinates.
Sites, in units of the cell vectors:
Co  0.339  0.339  0.322  0.47
Co  0.661  0.661  0.678  0.47
Fe  0.000  0.000  0.000  3.21
N  0.750  0.250  0.500  0.09
N  0.250  0.750  0.500  0.09

Entry 2:
A relaxed structure of LiCu2Ni, computed with GGA-PBE.

Properties
VASP energy (eV/atom): -3.97
ΔH_f (0 K) (eV/f.u.): 0.0
Calculated density (g/cm³): 6.78
Magnetization (μB/f.u.): 0.00
Distance to the lowest polymorph of the same formula (eV per atom): 0.052

Cell: 8.582 8.582 8.582 Å, 17.01 17.01 17.01°
Sites, in units of the cell vectors:
Ni  0.250  0.250  0.250
Cu  0.998  0.998  0.998
Cu  0.502  0.502  0.502
Li  0.750  0.750  0.750

Entry 3:
A relaxed structure of GaMo2C, computed with GGA-PBE.

Properties
VASP energy (eV/atom): -8.60
ΔH_f (0 K) (eV/f.u.): -0.5
Calculated density (g/cm³): 8.46
Magnetization (μB/f.u.): 0.00
Distance to the lowest polymorph of the same formula (eV per atom): 0.002

Cell: 3.049 6.902 3.048 Å, 90.00 119.99 102.77°
Sites, in units of the cell vectors:
Mo  0.098  0.899  0.665
Mo  0.671  0.257  0.451
C  0.884  0.077  0.057
Ga  0.549  0.575  0.890

Entry 4:
A relaxed structure of LiZrAg2, computed with GGA-PBE.

Properties
VASP energy (eV/atom): -3.86
ΔH_f (0 K) (eV/f.u.): 0.7
Calculated density (g/cm³): 6.94
Magnetization (μB/f.u.): 0.00

Cell: 3.015 5.027 4.955 Å, 90.00 90.00 90.00°
Sites, in units of the cell vectors:
Ag  0.000  0.000  0.000
Ag  0.500  0.500  0.000
Li  0.500  0.000  0.500
Zr  0.000  0.500  0.500

Entry 5:
A relaxed structure of KSi2Ag, computed with GGA-PBE.

Properties
VASP energy (eV/atom): -3.33
Calculated density (g/cm³): 3.17
Uncorrected formation energy (eV per atom): 0.37
Magnetization (μB/f.u.): 0.00
Distance to the lowest polymorph of the same formula (eV per atom): 0.212

Cell: 5.838 5.838 5.838 Å, 142.86 115.03 77.28°
Sites, in units of the cell vectors:
Ag  0.573  0.573  0.000
K  0.233  0.733  0.500
Si  0.923  0.923  0.000
Si  0.771  0.271  0.500

Entry 6:
A relaxed structure of SrFeBr4, computed with GGA-PBE.

Properties
VASP energy (eV/atom): -2.63
Calculated density (g/cm³): 4.03
Uncorrected formation energy (eV per atom): 0.17
Magnetization (μB/f.u.): 6.07
Distance to the lowest polymorph of the same formula (eV per atom): 1.397

Cell: 6.461 6.461 6.461 Å, 60.00 60.00 60.00°
Site moments in Bohr magnetons follow the coordinates.
Sites, in units of the cell vectors:
Sr  0.000  0.000  0.000  0.01
Fe  0.750  0.750  0.750  3.56
Br  0.875  0.375  0.375  0.37
Br  0.375  0.375  0.875  0.37
Br  0.375  0.875  0.375  0.37
Br  0.375  0.375  0.375  0.37

Entry 7:
A relaxed structure of AcTlAs2Pd5, computed with GGA-PBE.

Properties
VASP energy (eV/atom): -5.04
ΔH_f (0 K) (eV/f.u.): -3.6
Calculated density (g/cm³): 9.34
Magnetization (μB/f.u.): 0.00

Cell: 4.747 4.747 8.789 Å, 90.00 90.00 90.00°
Sites, in units of the cell vectors:
Ac  0.000  0.000  0.500
Tl  0.000  0.000  0.000
As  0.500  0.500  0.229
As  0.500  0.500  0.771
Pd  0.000  0.500  0.177
Pd  0.500  0.000  0.177
Pd  0.000  0.500  0.823
Pd  0.500  0.000  0.823
Pd  0.500  0.500  0.500

Entry 8:
A relaxed structure of Zn2TeBr, computed with GGA-PBE.

Properties
VASP energy (eV/atom): -1.78
Calculated density (g/cm³): 5.58
Uncorrected formation energy (eV per atom): 0.06
Magnetization (μB/f.u.): 0.00
Distance to the lowest polymorph of the same formula (eV per atom): 0.335

Cell: 3.224 3.224 9.693 Å, 90.00 90.00 90.00°
Sites, in units of the cell vectors:
Br  0.000  0.000  0.403
Te  0.500  0.500  0.802
Zn  0.000  0.000  0.056
Zn  0.500  0.500  0.239